Entry from Alexandria via LeMat-Bulk: a crystal of Cs2TeIr2 relaxed with PBEsol (SCAN).

Summary:
The value obtained for the formation energy (no corrections) is 135 meV/atom.

Structure (extended XYZ):
```
5
Lattice="3.548 0.000 0.000 0.000 3.548 0.000 -1.774 -1.774 11.863" Properties=species:S:1:pos:R:3 pbc="T T T"
Cs 0.000 0.000 9.035
Cs 1.774 1.774 2.827
Ir 0.000 1.774 5.931
Ir 1.774 0.000 5.931
Te 0.000 0.000 0.000
```